SrMg3, relaxed, DFT PBEsol; energy relative to the elements = -2 meV per atom
1.0
-2.129 0.540 3.011
-3.036 0.116 -2.168
-0.897 -8.126 0.822
Sr Mg
1 3
Cartesian
0.000 0.000 0.000
-0.448 -4.063 0.411
-2.847 -2.068 0.664
-3.215 -5.403 1.001